{
  "formula": "BaRe3",
  "functional": "PBE-GGA",
  "state": "optimized geometry",
  "volume_a3_per_cell": 93,
  "crystal_system": "monoclinic",
  "e_form_ev_per_atom": 0.870,
  "dos_at_fermi_per_ev_cell": 4.23,
  "spacegroup": "C2/m, No. 12",
  "polymorph_energy_ev_per_atom": 0.274,
  "final_energy_ev_per_atom": -8.95,
  "cell": [[4.9238, 0.0039, -0.0155], [3.9616, 2.9240, -0.0155], [1.3742, 0.4528, 6.4394]],
  "species": ["Re", "Re", "Re", "Ba"],
  "frac_coords": [[0.7829, 0.7829, 0.6348], [0.2171, 0.2171, 0.3652], [0.5000, 0.5000, 0.5000], [0.0000, 0.0000, 0.0000]]
}

{
  "formula": "BaRe5",
  "functional": "PBE-GGA",
  "state": "optimized geometry",
  "volume_a3_per_cell": 113,
  "crystal_system": "tetragonal",
  "e_form_ev_per_atom": 0.586,
  "dos_at_fermi_per_ev_cell": 4.80,
  "spacegroup": "P4/mmm, No. 123",
  "polymorph_energy_ev_per_atom": 0.000,
  "final_energy_ev_per_atom": -10.11,
  "cell": [[-2.0877, -0.3316, 2.3392], [-1.4568, -2.2769, -1.6230], [6.6823, -7.7444, 4.8663]],
  "species": ["Ba", "Re", "Re", "Re", "Re", "Re"],
  "frac_coords": [[0.5000, 0.5000, 0.0000], [0.0000, 0.0000, 0.2399], [0.5000, 0.5000, 0.3539], [0.0000, 0.0000, 0.5000], [0.5000, 0.5000, 0.6461], [0.0000, 0.0000, 0.7601]]
}